Record 1
Below is crystalline CaSc2GaGe at its relaxed geometry, with properties calculated at the PBE level.

The structure in CIF format:
```
data_CaSc2GaGe
_chemical_formula_sum 'Ca1 Sc2 Ga1 Ge1'
_cell_length_a 5.218
_cell_length_b 5.218
_cell_length_c 5.209
_cell_angle_alpha 90.00
_cell_angle_beta 90.00
_cell_angle_gamma 90.00
_symmetry_space_group_name_H-M 'P 4/m m m'
_symmetry_Int_Tables_number 123
_symmetry_space_group_name_Hall '-P 4 2'
loop_
_atom_site_label
_atom_site_type_symbol
_atom_site_fract_x
_atom_site_fract_y
_atom_site_fract_z
Ca1 Ca 0.000 0.000 0.000
Sc1 Sc 0.000 0.500 0.000
Ga1 Ga 0.500 0.500 0.500
Ge1 Ge 0.000 0.000 0.500
```

Summary:
Total DFT energy (no corrections) in eV/atom: -3.417
DFT formation energy in meV/atom: 1044.8
Magnetic moment in μB per formula unit: 0.94
V in A^3/atom: 28.36
D(E_F) in states/eV per cell: 4.8

---

Record 2
Below is crystalline CaGa2GeSe6 at its relaxed geometry, with properties calculated at the PBE level.

The structure in CIF format:
```
data_CaGa2GeSe6
_chemical_formula_sum 'Ca4 Ga8 Ge4 Se24'
_cell_length_a 13.351
_cell_length_b 12.578
_cell_length_c 7.292
_cell_angle_alpha 90.00
_cell_angle_beta 112.21
_cell_angle_gamma 90.00
_symmetry_space_group_name_H-M 'C 1 2/c 1'
_symmetry_Int_Tables_number 15
loop_
_symmetry_equiv_pos_as_xyz
'x,y,z'
'-x,-y,-z'
'-x,y,-z+1/2'
'x,-y,z+1/2'
'x+1/2,y+1/2,z'
'-x+1/2,-y+1/2,-z'
'-x+1/2,y+1/2,-z+1/2'
'x+1/2,-y+1/2,z+1/2'
loop_
_atom_site_label
_atom_site_type_symbol
_atom_site_fract_x
_atom_site_fract_y
_atom_site_fract_z
Ca1 Ca 0.000 0.127 0.250
Ga1 Ga 0.173 0.433 0.185
Ge1 Ge 0.000 0.188 0.750
Se1 Se 0.118 0.067 0.664
Se2 Se 0.130 0.247 0.066
Se3 Se 0.130 0.414 0.479
```

Summary:
Total DFT energy (no corrections) in eV/atom: -4.015
Formation energy from raw total energies in eV per atom: -0.657
Magnetic moment in μB per formula unit: 0.00
V in A^3/atom: 28.34

---

Record 3
Below is crystalline CaGaSn2Ge at its relaxed geometry, with properties calculated at the PBE level.

The structure in CIF format:
```
data_CaGaSn2Ge
_chemical_formula_sum 'Ca1 Ga1 Sn2 Ge1'
_cell_length_a 5.403
_cell_length_b 5.403
_cell_length_c 4.991
_cell_angle_alpha 90.00
_cell_angle_beta 90.00
_cell_angle_gamma 90.00
_symmetry_space_group_name_H-M 'P 4/m m m'
_symmetry_Int_Tables_number 123
_symmetry_space_group_name_Hall '-P 4 2'
loop_
_atom_site_label
_atom_site_type_symbol
_atom_site_fract_x
_atom_site_fract_y
_atom_site_fract_z
Ca1 Ca 0.000 0.000 0.000
Ga1 Ga 0.500 0.500 0.500
Sn1 Sn 0.000 0.500 0.500
Ge1 Ge 0.500 0.500 0.000
```

Summary:
Total DFT energy (no corrections) in eV/atom: -3.407
DFT formation energy in meV/atom: 123.7
Magnetic moment in μB per formula unit: 0.00
V in A^3/atom: 29.14
D(E_F) in states/eV per cell: 2.6

---

Record 4
Below is crystalline SrCa2Ga2Ge2 at its relaxed geometry, with properties calculated at the PBE level.

The structure in CIF format:
```
data_SrCa2Ga2Ge2
_chemical_formula_sum 'Sr3 Ca6 Ga6 Ge6'
_cell_length_a 4.7688
_cell_length_b 4.7688
_cell_length_c 27.7548
_cell_angle_alpha 90.00
_cell_angle_beta 90.00
_cell_angle_gamma 120.00
_symmetry_space_group_name_H-M 'R -3 m'
_symmetry_Int_Tables_number 166
_symmetry_space_group_name_Hall '-R 3 2"'
loop_
_atom_site_label
_atom_site_type_symbol
_atom_site_fract_x
_atom_site_fract_y
_atom_site_fract_z
Sr1 Sr 0.0000 0.0000 0.0000
Ca1 Ca 0.0000 0.0000 0.1319
Ga1 Ga 0.0000 0.0000 0.4165
Ge1 Ge 0.0000 0.0000 0.2551
```

Summary:
Total DFT energy (no corrections) in eV/atom: -3.337
DFT formation energy in meV/atom: -340.9
Magnetic moment in μB per formula unit: 0.00
V in A^3/atom: 26.03
D(E_F) in states/eV per cell: 17.6

---

Record 5
Below is crystalline SrCaGaGe at its relaxed geometry, with properties calculated at the PBE level.

The structure in CIF format:
```
data_SrCaGaGe
_chemical_formula_sum 'Sr4 Ca4 Ga4 Ge4'
_cell_length_a 7.541
_cell_length_b 7.541
_cell_length_c 7.541
_cell_angle_alpha 90.00
_cell_angle_beta 90.00
_cell_angle_gamma 90.00
_symmetry_space_group_name_H-M 'F -4 3 m'
_symmetry_Int_Tables_number 216
_symmetry_space_group_name_Hall 'F -4 2 3'
loop_
_atom_site_label
_atom_site_type_symbol
_atom_site_fract_x
_atom_site_fract_y
_atom_site_fract_z
Sr1 Sr 0.000 0.000 0.000
Ca1 Ca 0.000 0.000 0.500
Ga1 Ga 0.250 0.250 0.250
Ge1 Ge 0.250 0.250 0.750
```

Summary:
Total DFT energy (no corrections) in eV/atom: -3.256
ΔE to the lowest computed polymorph in meV/atom: 146
DFT formation energy in meV/atom: -423.9
Magnetic moment in μB per formula unit: 0.00
V in A^3/atom: 26.80
D(E_F) in states/eV per cell: 11.5

---

Record 6
Below is crystalline SrCaGaGe at its relaxed geometry, with properties calculated at the PBE level.

The structure in CIF format:
```
data_SrCaGaGe
_chemical_formula_sum 'Sr2 Ca2 Ga2 Ge2'
_cell_length_a 4.245
_cell_length_b 4.590
_cell_length_c 11.549
_cell_angle_alpha 90.00
_cell_angle_beta 90.00
_cell_angle_gamma 90.00
_symmetry_space_group_name_H-M 'A m m 2'
_symmetry_Int_Tables_number 38
loop_
_symmetry_equiv_pos_as_xyz
'x,y,z'
'-x,-y,z'
'-x,y,z'
'x,-y,z'
'x,y+1/2,z+1/2'
'-x,-y+1/2,z+1/2'
'-x,y+1/2,z+1/2'
'x,-y+1/2,z+1/2'
loop_
_atom_site_label
_atom_site_type_symbol
_atom_site_fract_x
_atom_site_fract_y
_atom_site_fract_z
Sr1 Sr 0.000 0.000 0.000
Ca1 Ca 0.500 0.000 0.278
Ga1 Ga 0.000 0.000 0.713
Ge1 Ge 0.500 0.000 0.576
```

Summary:
Total DFT energy (no corrections) in eV/atom: -3.402
ΔE to the lowest computed polymorph in meV/atom: 0
DFT formation energy in meV/atom: -569.7
Magnetic moment in μB per formula unit: 0.00
V in A^3/atom: 28.13
D(E_F) in states/eV per cell: 3.4

---

Record 7
Below is crystalline CaTbGaGe at its relaxed geometry, with properties calculated at the PBE level.

The structure in CIF format:
```
data_CaTbGaGe
_chemical_formula_sum 'Ca2 Tb2 Ga2 Ge2'
_cell_length_a 4.065
_cell_length_b 4.411
_cell_length_c 10.921
_cell_angle_alpha 90.00
_cell_angle_beta 90.00
_cell_angle_gamma 90.00
_symmetry_space_group_name_H-M 'A m m 2'
_symmetry_Int_Tables_number 38
loop_
_symmetry_equiv_pos_as_xyz
'x,y,z'
'-x,-y,z'
'-x,y,z'
'x,-y,z'
'x,y+1/2,z+1/2'
'-x,-y+1/2,z+1/2'
'-x,y+1/2,z+1/2'
'x,-y+1/2,z+1/2'
loop_
_atom_site_label
_atom_site_type_symbol
_atom_site_fract_x
_atom_site_fract_y
_atom_site_fract_z
Ca1 Ca 0.000 0.000 0.000
Tb1 Tb 0.500 0.000 0.277
Ga1 Ga 0.500 0.000 0.565
Ge1 Ge 0.000 0.000 0.719
```

Summary:
Total DFT energy (no corrections) in eV/atom: -4.240
ΔE to the lowest computed polymorph in meV/atom: 0
DFT formation energy in meV/atom: -671.1
Magnetic moment in μB per formula unit: 0.00
V in A^3/atom: 24.48
D(E_F) in states/eV per cell: 4.6

---

Record 8
Below is crystalline CaTbGaGe at its relaxed geometry, with properties calculated at the PBE level.

The structure in CIF format:
```
data_CaTbGaGe
_chemical_formula_sum 'Ca4 Tb4 Ga4 Ge4'
_cell_length_a 7.233
_cell_length_b 7.233
_cell_length_c 7.233
_cell_angle_alpha 90.00
_cell_angle_beta 90.00
_cell_angle_gamma 90.00
_symmetry_space_group_name_H-M 'F -4 3 m'
_symmetry_Int_Tables_number 216
_symmetry_space_group_name_Hall 'F -4 2 3'
loop_
_atom_site_label
_atom_site_type_symbol
_atom_site_fract_x
_atom_site_fract_y
_atom_site_fract_z
Ca1 Ca 0.000 0.000 0.000
Tb1 Tb 0.000 0.000 0.500
Ga1 Ga 0.250 0.250 0.250
Ge1 Ge 0.250 0.250 0.750
```

Summary:
Total DFT energy (no corrections) in eV/atom: -4.084
ΔE to the lowest computed polymorph in meV/atom: 156
DFT formation energy in meV/atom: -514.9
Magnetic moment in μB per formula unit: 0.00
V in A^3/atom: 23.65
D(E_F) in states/eV per cell: 7.6